Ca2DyFeO6 | PBE with a Hubbard U | optimized geometry

Calculated volume: 12.97 Å³ per atom
DFT total energy: -0.2438 Ha/atom

Cell lengths 8.0362, 8.0362, 8.0362 Å; angles 90.00, 90.00, 90.00 degrees
Last column: nearest neighbours and their distance in Å.
Space group Fm-3m (No. 225)
Symmetry-distinct sites (fractional):
1 Ca 0.2500 0.2500 0.2500 [8 per cell]  12 O 2.85
2 Dy 0.0000 0.0000 0.0000 [4 per cell]  6 O 2.16
3 Fe 0.0000 0.0000 0.5000 [4 per cell]  6 O 1.86
4 O 0.0000 0.0000 0.2687 [24 per cell]  1 Fe 1.86